Computed, not measured: an optimized crystal structure of SnBiP at the PBE level of DFT.

The structure in CIF format:
```
data_SnBiP
_space_group_name_H-M_alt 'P 3 m 1'
_space_group_IT_number 156
_space_group_name_Hall 'P 3 -2"'
_cell_length_a 3.9709
_cell_length_b 3.9709
_cell_length_c 5.7287
_cell_angle_alpha 90.00
_cell_angle_beta 90.00
_cell_angle_gamma 120.00
loop_
_atom_site_label
_atom_site_type_symbol
_atom_site_fract_x
_atom_site_fract_y
_atom_site_fract_z
_atom_site_occupancy
Sn1 Sn 0.0000 0.0000 0.0000 1
Bi1 Bi 0.6667 0.3333 0.4123 1
P1 P 0.3333 0.6667 0.7332 1
```

## Properties
Its crystal system is trigonal. The calculation puts the formation enthalpy at 0 K at 0.12 eV/atom. The density of states at the Fermi level is 0.94 states/eV per cell.